[1]
# YRhW2, relaxed, DFT PBE
data_YRhW2
_cell_length_a 5.397
_cell_length_b 5.397
_cell_length_c 5.397
_cell_angle_alpha 144.49
_cell_angle_beta 125.35
_cell_angle_gamma 66.89
_space_group_name_H-M_alt 'P 1'
_space_group_IT_number 1
loop_
_space_group_symop_operation_xyz
'x,y,z'
loop_
_atom_site_label
_atom_site_type_symbol
_atom_site_fract_x
_atom_site_fract_y
_atom_site_fract_z
_atom_site_occupancy
Rh1 Rh 0.767 0.267 0.500 1
W1 W 0.005 0.005 0.000 1
W2 W 0.224 0.724 0.500 1
Y1 Y 0.504 0.504 0.000 1
# - energy of formation from the pure elements (meV/atom) = 301

[2]
# GaGeOF2, relaxed, DFT PBE
data_GaGeOF2
_cell_length_a 4.209
_cell_length_b 4.209
_cell_length_c 3.687
_cell_angle_alpha 90.00
_cell_angle_beta 90.00
_cell_angle_gamma 90.00
_space_group_name_H-M_alt 'P 1'
_space_group_IT_number 1
loop_
_space_group_symop_operation_xyz
'x,y,z'
loop_
_atom_site_label
_atom_site_type_symbol
_atom_site_fract_x
_atom_site_fract_y
_atom_site_fract_z
_atom_site_occupancy
Ge1 Ge 0.500 0.500 0.500 1
O1 O 0.000 0.000 0.500 1
Ga1 Ga 0.000 0.000 0.000 1
F1 F 0.000 0.500 0.000 1
F2 F 0.500 0.000 0.000 1
# - formation energy from raw total energies (kJ/mol of formula units) = -663